(1)
The following is a DFT calculation (GGA-PBE) of an optimized crystal structure of CrCu2As.

a = 3.1617 Å, b = 3.1617 Å, c = 5.4047 Å
α = 90.00°, β = 90.00°, γ = 90.00°
Positions (direct):
Cr 0.0000 0.0000 0.0000
Cu 0.0000 0.0000 0.4893
Cu 0.5000 0.5000 0.2853
As 0.5000 0.5000 0.7956

Properties
Uncorrected energy: -5.450 eV per atom


(2)
The following is a DFT calculation (GGA-PBE) of an optimized crystal structure of Ce2Cd2Ga.

a = 4.0192 Å, b = 4.0192 Å, c = 16.8258 Å
α = 90.00°, β = 90.00°, γ = 90.00°
Positions (direct):
Ce 0.0000 0.0000 0.0809
Ce 0.0000 0.0000 0.9191
Ce 0.5000 0.5000 0.4191
Ce 0.5000 0.5000 0.5809
Cd 0.0000 0.5000 0.2500
Cd 0.0000 0.5000 0.7500
Cd 0.5000 0.0000 0.2500
Cd 0.5000 0.0000 0.7500
Ga 0.0000 0.0000 0.5000
Ga 0.5000 0.5000 0.0000

Properties
Uncorrected energy: -3.419 eV per atom
Energy above the most stable polymorph in this dataset: 55 meV per atom


(3)
The following is a DFT calculation (GGA-PBE) of an optimized crystal structure of NaFe2Pb.

a = 7.5962 Å, b = 7.5962 Å, c = 5.5619 Å
α = 90.00°, β = 90.00°, γ = 90.00°
Positions (direct):
Na 0.0000 0.0000 0.0000
Na 0.0000 0.5000 0.2500
Na 0.5000 0.0000 0.7500
Na 0.5000 0.5000 0.5000
Fe 0.2363 0.7500 0.6250
Fe 0.2500 0.2363 0.3750
Fe 0.2500 0.2637 0.8750
Fe 0.2637 0.7500 0.1250
Fe 0.7363 0.2500 0.1250
Fe 0.7500 0.7363 0.8750
Fe 0.7500 0.7637 0.3750
Fe 0.7637 0.2500 0.6250
Pb 0.0000 0.0000 0.5000
Pb 0.0000 0.5000 0.7500
Pb 0.5000 0.0000 0.2500
Pb 0.5000 0.5000 0.0000

Properties
Uncorrected energy: -4.559 eV per atom


(4)
The following is a DFT calculation (GGA-PBE) of an optimized crystal structure of TaAlIn2.

a = 4.1139 Å, b = 4.1139 Å, c = 9.1781 Å
α = 90.00°, β = 90.00°, γ = 90.00°
Positions (direct):
Ta 0.0000 0.0000 0.0000
Ta 0.5000 0.5000 0.5000
Al 0.0000 0.5000 0.7500
Al 0.5000 0.0000 0.2500
In 0.0000 0.0000 0.5000
In 0.0000 0.5000 0.2500
In 0.5000 0.0000 0.7500
In 0.5000 0.5000 0.0000

Properties
Uncorrected energy: -5.125 eV per atom


no.,ΔH_f (0 K) (eV/atom)
1,0.17
2,-0.07
3,0.93
4,0.14